# TcRuRh, relaxed, DFT PBEsol
# **Symmetry**: No. 107
# **Total DFT energy (no corrections)**: -9.88 eV per atom
# **Excess energy over the best structure of this formula in the dataset**: 0.0 meV per atom
# **V**: 41 Å³ per cell
# **Calculated formation energy**: -23 meV per atom
data_TcRuRh
_cell_length_a 2.680
_cell_length_b 2.680
_cell_length_c 5.969
_cell_angle_alpha 102.97
_cell_angle_beta 102.97
_cell_angle_gamma 90.00
_symmetry_space_group_name_H-M 'P 1'
_symmetry_Int_Tables_number 1
_symmetry_space_group_name_Hall 'P 1'
loop_
_atom_site_label
_atom_site_type_symbol
_atom_site_fract_x
_atom_site_fract_y
_atom_site_fract_z
Ru1 Ru 0.330 0.330 0.660
Rh1 Rh 0.002 0.002 0.003
Tc1 Tc 0.669 0.669 0.337

# TcRuRh, relaxed, DFT PBEsol
# **Symmetry**: No. 156
# **Total DFT energy (no corrections)**: -9.88 eV per atom
# **Excess energy over the best structure of this formula in the dataset**: 5.6 meV per atom
# **V**: 41 Å³ per cell
# **Calculated formation energy**: -18 meV per atom
data_TcRuRh
_cell_length_a 2.674
_cell_length_b 2.674
_cell_length_c 6.571
_cell_angle_alpha 90.00
_cell_angle_beta 90.00
_cell_angle_gamma 120.00
_symmetry_space_group_name_H-M 'P 1'
_symmetry_Int_Tables_number 1
_symmetry_space_group_name_Hall 'P 1'
loop_
_atom_site_label
_atom_site_type_symbol
_atom_site_fract_x
_atom_site_fract_y
_atom_site_fract_z
Ru1 Ru 0.333 0.667 0.659
Rh1 Rh 0.000 0.000 0.002
Tc1 Tc 0.667 0.333 0.338

Which value of excess energy over the best structure of this formula in the dataset does entry 2 give? 5.6 meV per atom

Copy entry 2 word for word.
# TcRuRh, relaxed, DFT PBEsol
# **Symmetry**: No. 156
# **Total DFT energy (no corrections)**: -9.88 eV per atom
# **Excess energy over the best structure of this formula in the dataset**: 5.6 meV per atom
# **V**: 41 Å³ per cell
# **Calculated formation energy**: -18 meV per atom
data_TcRuRh
_cell_length_a 2.674
_cell_length_b 2.674
_cell_length_c 6.571
_cell_angle_alpha 90.00
_cell_angle_beta 90.00
_cell_angle_gamma 120.00
_symmetry_space_group_name_H-M 'P 1'
_symmetry_Int_Tables_number 1
_symmetry_space_group_name_Hall 'P 1'
loop_
_atom_site_label
_atom_site_type_symbol
_atom_site_fract_x
_atom_site_fract_y
_atom_site_fract_z
Ru1 Ru 0.333 0.667 0.659
Rh1 Rh 0.000 0.000 0.002
Tc1 Tc 0.667 0.333 0.338